Entry 1:
TaZnCr2Ag: PBEsol geometry, SCAN.

For the energy of formation from the pure elements, the calculation gives 117.1 kJ/mol of atoms. The value obtained for the size of the total moment is 6.004 μB per cell. Its calculated volume is 18.87 Å³ per atom. For the mass density, the calculation gives 8.1 g/cm3.

a = 4.466 Å, b = 4.466 Å, c = 4.730 Å
α = 90.00°, β = 90.00°, γ = 90.00°
Fractional positions:
Cr (0.500, 0.000, 0.000)
Cr (0.000, 0.500, 0.000)
Zn (0.000, 0.000, 0.000)
Ag (0.500, 0.500, 0.500)
Ta (0.000, 0.000, 0.500)


Entry 2:
CrS2N: PBEsol geometry, SCAN.

Its uncorrected formation energy is 1.458 eV per atom. The value obtained for the size of the total moment is 0.002 μB per cell. Its calculated volume is 12.77 Å³ per atom. For the mass density, the calculation gives 4.2 g/cm3.

a = 2.944 Å, b = 2.944 Å, c = 7.016 Å
α = 77.89°, β = 77.89°, γ = 60.00°
Fractional positions:
Cr (0.000, 0.000, 0.000)
S (0.101, 0.101, 0.696)
S (0.899, 0.899, 0.304)
N (0.500, 0.500, 0.500)


Which of these has the highest size of the total moment?
TaZnCr2Ag